The following is a DFT calculation (PBE) of a relaxed PmHgPd crystal.

abc: 5.436 5.436 5.436
angles: 139.02 139.02 59.34
Atoms (fractional coordinates):
Pm 0.000 0.000 0.000
Hg 0.677 0.677 0.000
Pd 0.342 0.342 0.000

Results
The formation energy is -1.9 eV per formula unit. The uncorrected energy is -4.034 eV per atom. The calculation puts the relative energy among the computed polymorphs at 0.059 eV/atom. The calculation puts the density of states at the Fermi level at 1.41 states/eV per cell.